No. 1
A geometry-optimized ZrSbI2N structure. Source: the Alexandria database, functional GGA-PBE.

Geometry as POSCAR:
```
ZrSbI2N
1.0
4.847 0.000 0.000
0.000 4.847 0.000
0.000 0.000 4.897
Zr Sb I N
1 1 2 1
direct
0.000 0.000 0.000
0.500 0.500 0.000
0.000 0.500 0.500
0.500 0.000 0.500
0.500 0.500 0.500
```

E_form (uncorrected) in eV per atom: 0.832
Density of states at the Fermi level in states/eV/cell: 5.925

No. 2
A geometry-optimized PuTlH2Br8 structure. Source: the Alexandria database, functional GGA-PBE.

Geometry as POSCAR:
```
PuTlH2Br8
1.0
7.457 0.000 0.000
-3.499 7.335 0.000
-0.037 -3.679 8.493
Pu Tl H Br
1 1 2 8
direct
0.000 0.000 0.000
0.000 0.000 0.500
0.448 0.550 0.294
0.552 0.450 0.706
0.068 0.786 0.727
0.070 0.790 0.143
0.397 0.266 0.082
0.484 0.728 0.433
0.516 0.272 0.567
0.603 0.734 0.918
0.930 0.210 0.857
0.932 0.214 0.273
```

E_tot in eV/atom: -3.83
Density of states at the Fermi level in states/eV/cell: 10.807

No. 3
A geometry-optimized TaCr3Cu2S8 structure. Source: the Alexandria database, functional GGA-PBE.

Geometry as POSCAR:
```
TaCr3Cu2S8
1.0
6.960 0.000 0.000
0.000 7.125 0.000
0.000 0.000 9.955
Ta Cr Cu S
2 6 4 16
direct
0.000 0.249 0.250
0.000 0.751 0.750
0.242 0.000 0.000
0.242 0.500 0.000
0.500 0.250 0.250
0.500 0.750 0.750
0.758 0.000 0.500
0.758 0.500 0.500
0.268 0.251 0.624
0.268 0.749 0.376
0.732 0.251 0.876
0.732 0.749 0.124
0.004 0.250 0.003
0.004 0.750 0.997
0.255 0.010 0.243
0.255 0.490 0.243
0.255 0.510 0.757
0.255 0.990 0.757
0.471 0.250 0.010
0.471 0.750 0.990
0.529 0.250 0.490
0.529 0.750 0.510
0.745 0.010 0.257
0.745 0.490 0.257
0.745 0.510 0.743
0.745 0.990 0.743
0.996 0.250 0.497
0.996 0.750 0.503
```

E_form (uncorrected) in eV per atom: -0.713
Density of states at the Fermi level in states/eV/cell: 6.156

No. 4
A geometry-optimized FePC2 structure. Source: the Alexandria database, functional GGA-PBE.

Geometry as POSCAR:
```
FePC2
1.0
2.498 0.000 0.000
0.000 1.818 4.937
0.000 -1.818 4.937
Fe P C
1 1 2
direct
0.000 0.000 0.000
0.500 0.449 0.449
0.000 0.193 0.193
0.500 0.260 0.260
```

Density of states at the Fermi level in states/eV/cell: 1.828
E_form in eV per atom: 0.300

No. 5
A geometry-optimized Y2InS4 structure. Source: the Alexandria database, functional GGA-PBE.

Geometry as POSCAR:
```
Y2InS4
1.0
7.336 -1.986 0.000
7.336 1.986 0.000
-3.105 0.000 6.232
Y In S
2 1 4
direct
0.228 0.228 0.219
0.772 0.772 0.781
0.500 0.500 0.500
0.143 0.143 0.498
0.370 0.370 0.054
0.630 0.630 0.946
0.857 0.857 0.502
```

E_form (uncorrected) in eV per atom: -1.519
Density of states at the Fermi level in states/eV/cell: 3.300

No. 6
A geometry-optimized MnRu2Rh structure. Source: the Alexandria database, functional GGA-PBE.

Geometry as POSCAR:
```
MnRu2Rh
1.0
1.354 0.782 8.633
-1.354 0.782 8.633
0.000 -1.563 8.633
Mn Ru Rh
1 2 1
direct
0.000 0.000 0.000
0.499 0.499 0.499
0.748 0.748 0.748
0.252 0.252 0.252
```

Density of states at the Fermi level in states/eV/cell: 5.610
E_form in eV per atom: 0.114

No. 7
A geometry-optimized CdIr2IO structure. Source: the Alexandria database, functional GGA-PBE.

Geometry as POSCAR:
```
CdIr2IO
1.0
4.013 0.000 0.000
0.000 4.013 0.000
0.000 0.000 7.138
Cd Ir I O
1 2 1 1
direct
0.000 0.000 0.000
0.000 0.500 0.500
0.500 0.000 0.500
0.500 0.500 0.000
0.000 0.000 0.500
```

E_form (uncorrected) in eV per atom: 0.698
Density of states at the Fermi level in states/eV/cell: 3.537

No. 8
A geometry-optimized FeNiAsSe structure. Source: the Alexandria database, functional GGA-PBE.

Geometry as POSCAR:
```
FeNiAsSe
1.0
-1.512 1.622 6.066
1.512 -1.622 6.066
1.512 1.622 -6.066
Fe Ni As Se
1 1 1 1
direct
0.000 0.000 0.000
0.788 0.788 0.000
0.404 0.404 0.000
0.147 0.647 0.500
```

E_form (uncorrected) in eV per atom: -0.031
Density of states at the Fermi level in states/eV/cell: 3.490

No. 9
A geometry-optimized NpNbZn structure. Source: the Alexandria database, functional GGA-PBE.

Geometry as POSCAR:
```
NpNbZn
1.0
8.067 -1.412 0.000
8.067 1.412 0.000
-1.332 0.000 4.727
Np Nb Zn
2 2 2
direct
0.239 0.239 0.239
0.761 0.761 0.761
0.073 0.073 0.403
0.927 0.927 0.597
0.424 0.424 0.099
0.576 0.576 0.901
```

Density of states at the Fermi level in states/eV/cell: 8.362
E_form in eV per atom: 0.153

No. 10
A geometry-optimized ReRh4 structure. Source: the Alexandria database, functional GGA-PBE.

Geometry as POSCAR:
```
ReRh4
1.0
-3.046 3.046 1.923
3.046 -3.046 1.923
3.046 3.046 -1.923
Re Rh
1 4
direct
0.000 0.000 0.000
0.205 0.396 0.601
0.396 0.795 0.191
0.604 0.205 0.809
0.795 0.604 0.399
```

Density of states at the Fermi level in states/eV/cell: 5.584
E_form in eV per atom: -0.062

Which value of density of states at the Fermi level does entry 1 give? 5.925 states/eV/cell

Number 7 is which compound? CdIr2IO